Entry from Alexandria via LeMat-Bulk: a relaxed structure of AcLu2Au (GGA-PBE).

POSCAR file:
```
AcLu2Au
1.0
-0.7851 3.4826 -0.6851
-3.4102 -0.9347 -0.8433
-2.3821 1.1149 8.3969
Ac Lu Au
1 2 1
direct
0.5000 0.5000 0.5000
0.0000 0.0000 0.8120
0.0000 0.0000 0.1880
0.5000 0.5000 0.0000
```

Properties
E_form, eV/f.u.: -1.554
Density of states at the Fermi level, states/eV per cell: 4.8
Space-group type: No. 123
Energy relative to the lowest polymorph listed for this composition, meV/atom: 0